1.
Below is a relaxed structure of Ag2IBr, with properties calculated at the PBE level.

Cell and atoms, written as POSCAR:
```
Ag2IBr
1.0
2.087 1.205 7.284
-2.087 1.205 7.284
0.000 -2.410 7.284
Ag I Br
2 1 1
Direct
0.000 0.000 0.000
0.173 0.173 0.173
0.418 0.418 0.418
0.590 0.590 0.590
```

For the raw formation energy, the calculation gives -71.1 kJ/mol of formula units. Its energy above the lowest structure with this stoichiometry is 114.2 meV per atom. The space group is R3m, No. 160. The total magnetization is 0.00 μB/cell. For the uncorrected energy, the calculation gives -2.42 eV per atom.

=====

2.
Below is a relaxed structure of PuCuPd6, with properties calculated at the PBE level.

Cell and atoms, written as POSCAR:
```
PuCuPd6
1.0
3.986 -2.679 0.000
3.986 2.679 0.000
-2.509 0.000 6.898
Pu Cu Pd
1 1 6
Direct
0.000 0.000 0.000
0.500 0.500 0.500
0.058 0.567 0.208
0.148 0.148 0.440
0.433 0.942 0.792
0.567 0.058 0.208
0.852 0.852 0.560
0.942 0.433 0.792
```

Its energy above the lowest structure with this stoichiometry is 272.4 meV per atom. The space group is C2/m, No. 12. The total magnetization is 4.19 μB/cell. The calculated formation energy comes out at -0.037 eV/atom. For the uncorrected energy, the calculation gives -6.23 eV per atom.

=====

3.
Below is a relaxed structure of FeCuAg2, with properties calculated at the PBE level.

Cell and atoms, written as POSCAR:
```
FeCuAg2
1.0
4.056 0.000 0.000
0.000 4.056 0.000
0.000 0.000 3.735
Fe Cu Ag
1 1 2
Direct
0.000 0.000 0.000
0.500 0.500 0.000
0.000 0.500 0.500
0.500 0.000 0.500
```

Its energy above the lowest structure with this stoichiometry is 180.2 meV per atom. The space group is P4/mmm, No. 123. The total magnetization is 2.90 μB/cell. The calculated formation energy comes out at 0.395 eV/atom. For the uncorrected energy, the calculation gives -4.17 eV per atom.